[1]
The following is a DFT calculation (PBE) of Li12MgCd6 after structural relaxation.

Cell: 7.2295 7.2295 7.2295 Å, 90.40 90.40 90.40°
Fractional positions:
Li 0.0252 0.9301 0.3019
Li 0.0699 0.6981 0.9748
Li 0.1189 0.4643 0.3419
Li 0.3019 0.0252 0.9301
Li 0.3419 0.1189 0.4643
Li 0.4643 0.3419 0.1189
Li 0.5357 0.6581 0.8811
Li 0.6581 0.8811 0.5357
Li 0.6981 0.9748 0.0699
Li 0.8811 0.5357 0.6581
Li 0.9301 0.3019 0.0252
Li 0.9748 0.0699 0.6981
Mg 0.5000 0.5000 0.5000
Cd 0.2233 0.7740 0.6188
Cd 0.2260 0.3812 0.7767
Cd 0.3812 0.7767 0.2260
Cd 0.6188 0.2233 0.7740
Cd 0.7740 0.6188 0.2233
Cd 0.7767 0.2260 0.3812

- Calculated density: 3.44 g cm⁻³
- Total DFT energy (no corrections): -1.74 eV/atom
- Total magnetic moment: 0.000 μB/atom
- Energy of formation from the pure elements: -158 meV per atom

[2]
The following is a DFT calculation (PBE) of LiMg9Cd2 after structural relaxation.

Cell: 4.5193 4.5193 12.9188 Å, 90.00 90.00 90.00°
Fractional positions:
Li 0.0000 0.0000 0.0000
Mg 0.0000 0.5000 0.1686
Mg 0.0000 0.5000 0.5000
Mg 0.0000 0.5000 0.8314
Mg 0.5000 0.0000 0.1686
Mg 0.5000 0.0000 0.5000
Mg 0.5000 0.0000 0.8314
Mg 0.5000 0.5000 0.0000
Mg 0.5000 0.5000 0.3361
Mg 0.5000 0.5000 0.6639
Cd 0.0000 0.0000 0.3334
Cd 0.0000 0.0000 0.6666

- Calculated density: 2.84 g cm⁻³
- Total DFT energy (no corrections): -1.55 eV/atom
- Total magnetic moment: 0.000 μB/atom
- Energy of formation from the pure elements: -46 meV per atom

[3]
The following is a DFT calculation (PBE) of Li5Mg3Cd2 after structural relaxation.

Cell: 9.5478 9.5478 9.5478 Å, 117.35 73.44 145.64°
Fractional positions:
Li 0.0702 0.7500 0.3202
Li 0.1730 0.0785 0.2514
Li 0.2500 0.2500 0.0000
Li 0.3270 0.5785 0.9055
Li 0.4298 0.7500 0.6798
Li 0.5702 0.2500 0.3202
Li 0.6730 0.4215 0.0945
Li 0.7500 0.7500 0.0000
Li 0.8270 0.9215 0.7486
Li 0.9298 0.2500 0.6798
Mg 0.1644 0.7778 0.9422
Mg 0.2500 0.7500 0.5000
Mg 0.3356 0.2778 0.6133
Mg 0.6644 0.7222 0.3867
Mg 0.7500 0.2500 0.5000
Mg 0.8356 0.2222 0.0578
Cd 0.0430 0.2515 0.2945
Cd 0.4570 0.7515 0.2085
Cd 0.5430 0.2485 0.7915
Cd 0.9570 0.7485 0.7055

- Calculated density: 2.58 g cm⁻³
- Total DFT energy (no corrections): -1.61 eV/atom
- Total magnetic moment: 0.000 μB/atom
- Energy of formation from the pure elements: 4 meV per atom

[4]
The following is a DFT calculation (PBE) of Li2MgCd6 after structural relaxation.

Cell: 8.6875 8.6875 5.2428 Å, 97.59 97.59 74.35°
Fractional positions:
Li 0.0400 0.2920 0.0887
Li 0.2920 0.0400 0.5887
Li 0.7080 0.9600 0.4113
Li 0.9600 0.7080 0.9113
Mg 0.3785 0.6215 0.7500
Mg 0.6215 0.3785 0.2500
Cd 0.0636 0.8221 0.4792
Cd 0.1502 0.3962 0.6543
Cd 0.1779 0.9364 0.0208
Cd 0.2519 0.5186 0.1912
Cd 0.3962 0.1502 0.1543
Cd 0.4814 0.7481 0.3088
Cd 0.5186 0.2519 0.6912
Cd 0.6038 0.8498 0.8457
Cd 0.7481 0.4814 0.8088
Cd 0.8221 0.0636 0.9792
Cd 0.8498 0.6038 0.3457
Cd 0.9364 0.1779 0.5208

- Calculated density: 6.30 g cm⁻³
- Total DFT energy (no corrections): -1.35 eV/atom
- Total magnetic moment: 0.000 μB/atom
- Energy of formation from the pure elements: -138 meV per atom

[5]
The following is a DFT calculation (PBE) of Li2Mg7Cd2 after structural relaxation.

Cell: 6.8313 6.8313 5.6782 Å, 101.97 101.97 80.11°
Fractional positions:
Li 0.2219 0.2219 0.2914
Li 0.7781 0.7781 0.7086
Mg 0.0000 0.0000 0.5000
Mg 0.0737 0.4202 0.7596
Mg 0.4202 0.0737 0.7596
Mg 0.4824 0.4824 0.2416
Mg 0.5176 0.5176 0.7584
Mg 0.5798 0.9263 0.2404
Mg 0.9263 0.5798 0.2404
Cd 0.1739 0.8261 0.0000
Cd 0.8261 0.1739 0.0000

- Calculated density: 2.70 g cm⁻³
- Total DFT energy (no corrections): -1.50 eV/atom
- Total magnetic moment: 0.000 μB/atom
- Energy of formation from the pure elements: 29 meV per atom

[6]
The following is a DFT calculation (PBE) of Li6Mg12Cd after structural relaxation.

Cell: 7.4224 7.4224 7.4224 Å, 89.68 89.68 89.68°
Fractional positions:
Li 0.2324 0.7649 0.6088
Li 0.2351 0.3912 0.7676
Li 0.3912 0.7676 0.2351
Li 0.6088 0.2325 0.7649
Li 0.7649 0.6088 0.2324
Li 0.7676 0.2351 0.3912
Mg 0.0252 0.9352 0.3027
Mg 0.0648 0.6973 0.9748
Mg 0.1284 0.4721 0.3432
Mg 0.3027 0.0252 0.9352
Mg 0.3432 0.1284 0.4721
Mg 0.4721 0.3432 0.1284
Mg 0.5279 0.6568 0.8716
Mg 0.6568 0.8716 0.5279
Mg 0.6973 0.9748 0.0648
Mg 0.8716 0.5279 0.6568
Mg 0.9352 0.3027 0.0252
Mg 0.9748 0.0648 0.6973
Cd 0.5000 0.5000 0.5000

- Calculated density: 1.81 g cm⁻³
- Total DFT energy (no corrections): -1.70 eV/atom
- Total magnetic moment: 0.000 μB/atom
- Energy of formation from the pure elements: -39 meV per atom